Compound: YMnCoPd2
Source: the Alexandria database
Functional: PBE
Structure: optimized geometry

abc: 4.6141 4.6141 4.7328
angles: 90.00 90.00 90.00
Space group P4/mmm (No. 123)
Inequivalent atoms, fractional coordinates:
Y (0.0000, 0.0000, 0.0000) (multiplicity 1)
Mn (0.5000, 0.5000, 0.0000) (multiplicity 1)
Co (0.0000, 0.0000, 0.5000) (multiplicity 1)
Pd (0.0000, 0.5000, 0.5000) (multiplicity 2)

Output
DFT total energy   -5.69 eV/atom
Crystal system   tetragonal
Calculated formation energy   931 meV per atom
Volume   20.152 Å³ per atom
M_tot   1.17 μB per formula unit

***

Compound: PmMnCo10
Source: the Alexandria database
Functional: PBE
Structure: optimized geometry

abc: 4.0240 4.7614 8.4415
angles: 90.00 90.00 90.00
Space group Pmmm (No. 47)
Inequivalent atoms, fractional coordinates:
Pm (0.0000, 0.0000, 0.0000) (multiplicity 1)
Mn (0.0000, 0.5000, 0.5000) (multiplicity 1)
Co (0.0000, 0.0000, 0.3493) (multiplicity 2)
Co (0.0000, 0.5000, 0.2050) (multiplicity 2)
Co (0.5000, 0.0000, 0.5000) (multiplicity 1)
Co (0.5000, 0.2535, 0.2575) (multiplicity 4)
Co (0.5000, 0.5000, 0.0000) (multiplicity 1)

Output
DFT total energy   -6.99 eV/atom
Crystal system   orthorhombic
Calculated formation energy   88 meV per atom
Volume   13.478 Å³ per atom
M_tot   19.96 μB per formula unit

***

Compound: Pm3MnCo8
Source: the Alexandria database
Functional: PBE
Structure: optimized geometry

abc: 5.0454 5.0454 24.9083
angles: 90.00 90.00 120.00
Space group R3m (No. 160, hexagonal axes)
Inequivalent atoms, fractional coordinates:
Pm (0.0000, 0.0000, 0.0000) (multiplicity 3)
Pm (0.0000, 0.0000, 0.1277) (multiplicity 3)
Pm (0.0000, 0.0000, 0.5089) (multiplicity 3)
Mn (0.0000, 0.0000, 0.6299) (multiplicity 3)
Co (0.0000, 0.0000, 0.3148) (multiplicity 3)
Co (0.0000, 0.0000, 0.8160) (multiplicity 3)
Co (0.0025, 0.5013, 0.5690) (multiplicity 9)
Co (0.1701, 0.3402, 0.3960) (multiplicity 9)

Output
DFT total energy   -6.72 eV/atom
Crystal system   trigonal
Calculated formation energy   -27 meV per atom
Volume   15.253 Å³ per atom
M_tot   12.95 μB per formula unit

***

Compound: PmMnCo4
Source: the Alexandria database
Functional: PBE
Structure: optimized geometry

abc: 7.0282 7.0282 7.0282
angles: 90.00 90.00 90.00
Space group F-43m (No. 216)
Inequivalent atoms, fractional coordinates:
Pm (0.0000, 0.0000, 0.0000) (multiplicity 4)
Mn (0.2500, 0.2500, 0.2500) (multiplicity 4)
Co (0.1238, 0.1238, 0.6238) (multiplicity 16)

Output
DFT total energy   -7.06 eV/atom
Crystal system   cubic
Calculated formation energy   1 meV per atom
Volume   14.465 Å³ per atom
M_tot   9.63 μB per formula unit

***

Compound: PmMnCo
Source: the Alexandria database
Functional: PBE
Structure: optimized geometry

abc: 4.0162 4.0162 4.1029
angles: 90.00 90.00 120.00
Space group P-6m2 (No. 187)
Inequivalent atoms, fractional coordinates:
Pm (0.0000, 0.0000, 0.0000) (multiplicity 1)
Mn (0.3333, 0.6667, 0.5000) (multiplicity 1)
Co (0.6667, 0.3333, 0.5000) (multiplicity 1)

Output
DFT total energy   -6.93 eV/atom
Crystal system   hexagonal
Calculated formation energy   77 meV per atom
Volume   19.104 Å³ per atom
M_tot   3.15 μB per formula unit

***

Compound: Pm2Mn2Co15
Source: the Alexandria database
Functional: PBE
Structure: optimized geometry

abc: 8.4035 8.4035 12.2476
angles: 90.00 90.00 120.00
Space group R-3m (No. 166, hexagonal axes)
Inequivalent atoms, fractional coordinates:
Pm (0.0000, 0.0000, 0.1516) (multiplicity 6)
Mn (0.0000, 0.0000, 0.3959) (multiplicity 6)
Co (0.0000, 0.2850, 0.5000) (multiplicity 18)
Co (0.0000, 0.5000, 0.0000) (multiplicity 9)
Co (0.0011, 0.5006, 0.3473) (multiplicity 18)

Output
DFT total energy   -7.13 eV/atom
Crystal system   trigonal
Calculated formation energy   -59 meV per atom
Volume   13.141 Å³ per atom
M_tot   28.23 μB per formula unit

***

Compound: PrMnCo10
Source: the Alexandria database
Functional: PBE
Structure: optimized geometry

abc: 4.0307 4.7693 8.5005
angles: 90.00 90.00 90.00
Space group Pmmm (No. 47)
Inequivalent atoms, fractional coordinates:
Pr (0.0000, 0.0000, 0.0000) (multiplicity 1)
Mn (0.0000, 0.5000, 0.5000) (multiplicity 1)
Co (0.0000, 0.0000, 0.3507) (multiplicity 2)
Co (0.0000, 0.5000, 0.2081) (multiplicity 2)
Co (0.5000, 0.0000, 0.5000) (multiplicity 1)
Co (0.5000, 0.2549, 0.2597) (multiplicity 4)
Co (0.5000, 0.5000, 0.0000) (multiplicity 1)

Output
DFT total energy   -6.98 eV/atom
Crystal system   orthorhombic
Calculated formation energy   107 meV per atom
Volume   13.618 Å³ per atom
M_tot   19.95 μB per formula unit

***

Compound: PrMn4Co8
Source: the Alexandria database
Functional: PBE
Structure: optimized geometry

abc: 8.4646 8.4646 4.5740
angles: 90.00 90.00 90.00
Space group I4/mmm (No. 139)
Inequivalent atoms, fractional coordinates:
Pr (0.0000, 0.0000, 0.0000) (multiplicity 2)
Mn (0.2500, 0.2500, 0.2500) (multiplicity 8)
Co (0.0000, 0.2335, 0.5000) (multiplicity 8)
Co (0.0000, 0.3606, 0.0000) (multiplicity 8)

Output
DFT total energy   -7.50 eV/atom
Crystal system   tetragonal
Calculated formation energy   63 meV per atom
Volume   12.605 Å³ per atom
M_tot   16.45 μB per formula unit

***

Compound: Pr2MnCo16
Source: the Alexandria database
Functional: PBE
Structure: optimized geometry

abc: 8.4320 8.4320 12.2026
angles: 90.00 90.00 120.00
Space group R3m (No. 160, hexagonal axes)
Inequivalent atoms, fractional coordinates:
Pr (0.0000, 0.0000, 0.0000) (multiplicity 3)
Pr (0.0000, 0.0000, 0.3084) (multiplicity 3)
Mn (0.0000, 0.0000, 0.5584) (multiplicity 3)
Co (0.0000, 0.0000, 0.7552) (multiplicity 3)
Co (0.0005, 0.2847, 0.6553) (multiplicity 18)
Co (0.0060, 0.5030, 0.4999) (multiplicity 9)
Co (0.1687, 0.3374, 0.1414) (multiplicity 9)
Co (0.1691, 0.3383, 0.4885) (multiplicity 9)

Output
DFT total energy   -7.01 eV/atom
Crystal system   trigonal
Calculated formation energy   -44 meV per atom
Volume   13.182 Å³ per atom
M_tot   26.60 μB per formula unit

***

Compound: MnCo3Pt
Source: the Alexandria database
Functional: PBE
Structure: optimized geometry

abc: 4.1212 4.1212 4.1212
angles: 90.00 90.00 90.00
Space group Pm-3m (No. 221)
Inequivalent atoms, fractional coordinates:
Mn (0.0000, 0.0000, 0.0000) (multiplicity 1)
Co (0.0000, 0.0000, 0.5000) (multiplicity 3)
Pt (0.5000, 0.5000, 0.5000) (multiplicity 1)

Output
DFT total energy   -6.20 eV/atom
Crystal system   cubic
Calculated formation energy   1110 meV per atom
Volume   14.000 Å³ per atom
M_tot   2.50 μB per formula unit
Excess energy over the best structure of this formula in the dataset   0.0000 eV/atom

***

Compound: Mn2Co2Pt
Source: the Alexandria database
Functional: PBE
Structure: optimized geometry

abc: 6.7540 6.7540 2.5946
angles: 90.00 90.00 90.00
Space group P4/mbm (No. 127)
Inequivalent atoms, fractional coordinates:
Mn (0.1160, 0.3840, 0.0000) (multiplicity 4)
Co (0.1738, 0.6738, 0.5000) (multiplicity 4)
Pt (0.0000, 0.0000, 0.0000) (multiplicity 2)

Output
DFT total energy   -7.55 eV/atom
Crystal system   tetragonal
Calculated formation energy   172 meV per atom
Volume   11.836 Å³ per atom
M_tot   1.32 μB per formula unit

***

Compound: Mn4CoPt2
Source: the Alexandria database
Functional: PBE
Structure: optimized geometry

abc: 4.3608 4.3608 12.8096
angles: 90.00 90.00 90.00
Space group I4/mmm (No. 139)
Inequivalent atoms, fractional coordinates:
Mn (0.0000, 0.0000, 0.1846) (multiplicity 4)
Mn (0.0000, 0.5000, 0.0000) (multiplicity 4)
Co (0.0000, 0.0000, 0.0000) (multiplicity 2)
Pt (0.0000, 0.0000, 0.3833) (multiplicity 4)

Output
DFT total energy   -7.50 eV/atom
Crystal system   tetragonal
Calculated formation energy   481 meV per atom
Volume   17.400 Å³ per atom
M_tot   16.87 μB per formula unit